A plane-wave DFT calculation with PBE was carried out for a geometry-optimized NpRhAuO6 structure.

The structure in POSCAR format:
```
NpRhAuO6
1.0
-4.453 -2.474 -1.483
4.571 -2.682 0.239
-1.821 -2.279 9.270
Np Rh Au O
2 2 2 12
direct
0.667 0.333 0.250 Np
0.333 0.667 0.750 Np
0.333 0.667 0.250 Rh
0.667 0.333 0.750 Rh
0.000 0.000 0.000 Au
0.000 0.000 0.500 Au
0.644 0.650 0.135 O
0.006 0.356 0.135 O
0.356 0.006 0.635 O
0.994 0.644 0.865 O
0.350 0.356 0.365 O
0.006 0.650 0.365 O
0.650 0.006 0.865 O
0.644 0.994 0.365 O
0.994 0.350 0.635 O
0.350 0.994 0.135 O
0.650 0.644 0.635 O
0.356 0.350 0.865 O
```

**Total magnetic moment**: 1.6 μB/cell
**Density**: 8.87 Mg/m³
**Symmetry**: P-31c, No. 163
**Calculated volume**: 13.160 Å³ per atom
**Total DFT energy (no corrections)**: -7.280 eV/atom
**Formation energy (no corrections)**: -1356.0 meV per atom